Entry 1:
A relaxed RbCoRe3 crystal. Source: Alexandria via LeMat-Bulk, functional PBE-GGA.

Geometry as CIF:
```
data_RbCoRe3
_cell_length_a 4.6354
_cell_length_b 4.6354
_cell_length_c 4.6354
_cell_angle_alpha 90.00
_cell_angle_beta 90.00
_cell_angle_gamma 90.00
_space_group_name_H-M_alt 'P m -3 m'
_space_group_IT_number 221
_space_group_name_Hall '-P 4 2 3'
loop_
_atom_site_label
_atom_site_type_symbol
_atom_site_fract_x
_atom_site_fract_y
_atom_site_fract_z
Rb1 Rb 0.0000 0.0000 0.0000
Co1 Co 0.5000 0.5000 0.5000
Re1 Re 0.0000 0.5000 0.5000
```

Output
Excess energy over the best structure of this formula in the dataset, meV/atom: 0.0
Energy of formation, eV per atom: 2.20
Electronic total energy, eV/atom: -6.880

Entry 2:
A relaxed Rb2CoRe crystal. Source: Alexandria via LeMat-Bulk, functional PBE-GGA.

Geometry as CIF:
```
data_Rb2CoRe
_cell_length_a 12.9514
_cell_length_b 12.9514
_cell_length_c 4.4405
_cell_angle_alpha 90.00
_cell_angle_beta 90.00
_cell_angle_gamma 90.00
_space_group_name_H-M_alt 'I -4 2 d'
_space_group_IT_number 122
_space_group_name_Hall 'I -4 2bw'
loop_
_atom_site_label
_atom_site_type_symbol
_atom_site_fract_x
_atom_site_fract_y
_atom_site_fract_z
Rb1 Rb 0.0610 0.7500 0.1250
Co1 Co 0.0000 0.0000 0.0000
Re1 Re 0.0000 0.0000 0.5000
```

Output
Excess energy over the best structure of this formula in the dataset, meV/atom: 0.0
Energy of formation, eV per atom: 1.46
Electronic total energy, eV/atom: -3.912

Entry 3:
A relaxed RbCo2Re2 crystal. Source: Alexandria via LeMat-Bulk, functional PBE-GGA.

Geometry as CIF:
```
data_RbCo2Re2
_cell_length_a 4.0166
_cell_length_b 4.0166
_cell_length_c 13.8219
_cell_angle_alpha 90.00
_cell_angle_beta 90.00
_cell_angle_gamma 90.00
_space_group_name_H-M_alt 'I 4/m m m'
_space_group_IT_number 139
_space_group_name_Hall '-I 4 2'
loop_
_atom_site_label
_atom_site_type_symbol
_atom_site_fract_x
_atom_site_fract_y
_atom_site_fract_z
Rb1 Rb 0.0000 0.0000 0.0000
Co1 Co 0.0000 0.0000 0.3425
Re1 Re 0.0000 0.5000 0.2500
```

Output
Excess energy over the best structure of this formula in the dataset, meV/atom: 57.0
Energy of formation, eV per atom: 0.91
Electronic total energy, eV/atom: -7.110

Entry 4:
A relaxed RbCoReRh2 crystal. Source: Alexandria via LeMat-Bulk, functional PBE-GGA.

Geometry as CIF:
```
data_RbCoReRh2
_cell_length_a 4.6338
_cell_length_b 4.6338
_cell_length_c 4.8978
_cell_angle_alpha 90.00
_cell_angle_beta 90.00
_cell_angle_gamma 90.00
_space_group_name_H-M_alt 'P 4/m m m'
_space_group_IT_number 123
_space_group_name_Hall '-P 4 2'
loop_
_atom_site_label
_atom_site_type_symbol
_atom_site_fract_x
_atom_site_fract_y
_atom_site_fract_z
Rb1 Rb 0.0000 0.0000 0.0000
Co1 Co 0.0000 0.0000 0.5000
Re1 Re 0.5000 0.5000 0.0000
Rh1 Rh 0.0000 0.5000 0.5000
```

Output
Energy of formation, eV per atom: 2.02
Electronic total energy, eV/atom: -5.027

Entry 5:
A relaxed RbCoRe2S8 crystal. Source: Alexandria via LeMat-Bulk, functional PBE-GGA.

Geometry as CIF:
```
data_RbCoRe2S8
_cell_length_a 6.0917
_cell_length_b 6.0917
_cell_length_c 27.7404
_cell_angle_alpha 90.00
_cell_angle_beta 90.00
_cell_angle_gamma 120.00
_space_group_name_H-M_alt 'R -3'
_space_group_IT_number 148
_space_group_name_Hall '-R 3'
loop_
_atom_site_label
_atom_site_type_symbol
_atom_site_fract_x
_atom_site_fract_y
_atom_site_fract_z
Rb1 Rb 0.0000 0.0000 0.0000
Co1 Co 0.0000 0.0000 0.5000
Re1 Re 0.0000 0.0000 0.2420
S1 S 0.0000 0.0000 0.3200
S2 S 0.0100 0.6918 0.4507
```

Output
Uncorrected formation energy, eV per formula unit: -4.28
Electronic total energy, eV/atom: -5.856

Entry 6:
A relaxed RbCo2ReSe crystal. Source: Alexandria via LeMat-Bulk, functional PBE-GGA.

Geometry as CIF:
```
data_RbCo2ReSe
_cell_length_a 4.6588
_cell_length_b 4.6588
_cell_length_c 4.7362
_cell_angle_alpha 90.00
_cell_angle_beta 90.00
_cell_angle_gamma 90.00
_space_group_name_H-M_alt 'P 4/m m m'
_space_group_IT_number 123
_space_group_name_Hall '-P 4 2'
loop_
_atom_site_label
_atom_site_type_symbol
_atom_site_fract_x
_atom_site_fract_y
_atom_site_fract_z
Rb1 Rb 0.0000 0.0000 0.0000
Co1 Co 0.0000 0.5000 0.5000
Re1 Re 0.5000 0.5000 0.0000
Se1 Se 0.5000 0.5000 0.5000
```

Output
Uncorrected formation energy, eV per formula unit: 6.48
Electronic total energy, eV/atom: -4.926

Entry 7:
A relaxed RbCoReSi2 crystal. Source: Alexandria via LeMat-Bulk, functional PBE-GGA.

Geometry as CIF:
```
data_RbCoReSi2
_cell_length_a 5.0780
_cell_length_b 5.0780
_cell_length_c 4.4020
_cell_angle_alpha 90.00
_cell_angle_beta 90.00
_cell_angle_gamma 90.00
_space_group_name_H-M_alt 'P 4/m m m'
_space_group_IT_number 123
_space_group_name_Hall '-P 4 2'
loop_
_atom_site_label
_atom_site_type_symbol
_atom_site_fract_x
_atom_site_fract_y
_atom_site_fract_z
Rb1 Rb 0.0000 0.0000 0.0000
Co1 Co 0.0000 0.0000 0.5000
Re1 Re 0.5000 0.5000 0.5000
Si1 Si 0.0000 0.5000 0.0000
```

Output
Uncorrected formation energy, eV per formula unit: 15.69
Electronic total energy, eV/atom: -3.136

Entry 8:
A relaxed Rb2CoRh crystal. Source: Alexandria via LeMat-Bulk, functional PBE-GGA.

Geometry as CIF:
```
data_Rb2CoRh
_cell_length_a 7.8603
_cell_length_b 7.8603
_cell_length_c 7.8603
_cell_angle_alpha 90.00
_cell_angle_beta 90.00
_cell_angle_gamma 90.00
_space_group_name_H-M_alt 'F m -3 m'
_space_group_IT_number 225
_space_group_name_Hall '-F 4 2 3'
loop_
_atom_site_label
_atom_site_type_symbol
_atom_site_fract_x
_atom_site_fract_y
_atom_site_fract_z
Rb1 Rb 0.2500 0.2500 0.2500
Co1 Co 0.0000 0.0000 0.0000
Rh1 Rh 0.0000 0.0000 0.5000
```

Output
Excess energy over the best structure of this formula in the dataset, meV/atom: 655.1
Energy of formation, eV per atom: 1.49
Electronic total energy, eV/atom: -2.612

Entry 9:
A relaxed RbCoRh3 crystal. Source: Alexandria via LeMat-Bulk, functional PBE-GGA.

Geometry as CIF:
```
data_RbCoRh3
_cell_length_a 4.7739
_cell_length_b 4.7739
_cell_length_c 4.7739
_cell_angle_alpha 90.00
_cell_angle_beta 90.00
_cell_angle_gamma 90.00
_space_group_name_H-M_alt 'P m -3 m'
_space_group_IT_number 221
_space_group_name_Hall '-P 4 2 3'
loop_
_atom_site_label
_atom_site_type_symbol
_atom_site_fract_x
_atom_site_fract_y
_atom_site_fract_z
Rb1 Rb 0.0000 0.0000 0.0000
Co1 Co 0.5000 0.5000 0.5000
Rh1 Rh 0.0000 0.0000 0.5000
```

Output
Excess energy over the best structure of this formula in the dataset, meV/atom: 1657.6
Energy of formation, eV per atom: 2.62
Electronic total energy, eV/atom: -3.402

Entry 10:
A relaxed Rb2CoRh crystal. Source: Alexandria via LeMat-Bulk, functional PBE-GGA.

Geometry as CIF:
```
data_Rb2CoRh
_cell_length_a 12.6647
_cell_length_b 12.6647
_cell_length_c 4.5871
_cell_angle_alpha 90.00
_cell_angle_beta 90.00
_cell_angle_gamma 90.00
_space_group_name_H-M_alt 'I -4 2 d'
_space_group_IT_number 122
_space_group_name_Hall 'I -4 2bw'
loop_
_atom_site_label
_atom_site_type_symbol
_atom_site_fract_x
_atom_site_fract_y
_atom_site_fract_z
Rb1 Rb 0.0558 0.2500 0.1250
Co1 Co 0.0000 0.0000 0.5000
Rh1 Rh 0.0000 0.0000 0.0000
```

Output
Excess energy over the best structure of this formula in the dataset, meV/atom: 0.0
Energy of formation, eV per atom: 0.83
Electronic total energy, eV/atom: -3.267

Entry 11:
A relaxed RbCo3Rh crystal. Source: Alexandria via LeMat-Bulk, functional PBE-GGA.

Geometry as CIF:
```
data_RbCo3Rh
_cell_length_a 4.4471
_cell_length_b 4.4471
_cell_length_c 4.4471
_cell_angle_alpha 90.00
_cell_angle_beta 90.00
_cell_angle_gamma 90.00
_space_group_name_H-M_alt 'P m -3 m'
_space_group_IT_number 221
_space_group_name_Hall '-P 4 2 3'
loop_
_atom_site_label
_atom_site_type_symbol
_atom_site_fract_x
_atom_site_fract_y
_atom_site_fract_z
Rb1 Rb 0.0000 0.0000 0.0000
Co1 Co 0.0000 0.0000 0.5000
Rh1 Rh 0.5000 0.5000 0.5000
```

Output
Excess energy over the best structure of this formula in the dataset, meV/atom: 1463.5
Energy of formation, eV per atom: 2.64
Electronic total energy, eV/atom: -3.284

Entry 12:
A relaxed Rb3CoRh crystal. Source: Alexandria via LeMat-Bulk, functional PBE-GGA.

Geometry as CIF:
```
data_Rb3CoRh
_cell_length_a 6.2164
_cell_length_b 6.2164
_cell_length_c 6.2164
_cell_angle_alpha 90.00
_cell_angle_beta 90.00
_cell_angle_gamma 90.00
_space_group_name_H-M_alt 'P m -3 m'
_space_group_IT_number 221
_space_group_name_Hall '-P 4 2 3'
loop_
_atom_site_label
_atom_site_type_symbol
_atom_site_fract_x
_atom_site_fract_y
_atom_site_fract_z
Rb1 Rb 0.0000 0.0000 0.5000
Co1 Co 0.5000 0.5000 0.5000
Rh1 Rh 0.0000 0.0000 0.0000
```

Output
Excess energy over the best structure of this formula in the dataset, meV/atom: 0.0
Energy of formation, eV per atom: 1.12
Electronic total energy, eV/atom: -2.352